No. 1
Ho3Hg2Pb2 | GGA-PBE | relaxed

Uncorrected energy (eV/cell): -24.34
Formation enthalpy at 0 K (kJ/mol of formula units): -250
Symmetry: P-1

abc: 4.6537 5.5754 8.8905
angles: 94.59 105.11 114.59
Fractional positions:
Ho 0.0000 0.0000 0.0000
Ho 0.4301 0.1556 0.7041
Ho 0.5699 0.8444 0.2959
Hg 0.3116 0.2562 0.3675
Hg 0.6884 0.7438 0.6325
Pb 0.2173 0.5766 0.8575
Pb 0.7827 0.4234 0.1425

---

No. 2
ReTe4W | GGA-PBE | relaxed

Uncorrected energy (eV/cell): -38.29
Energy above the lowest structure with this stoichiometry (eV per atom): 0.0000
Formation energy without anion corrections (eV/atom): -0.0543
Symmetry: Cm

abc: 7.8748 7.8748 6.3426
angles: 101.42 101.42 25.37
Fractional positions:
Re 0.0000 0.0000 0.0000
Te 0.0941 0.0941 0.4259
Te 0.3974 0.3974 0.1900
Te 0.6312 0.6312 0.9530
Te 0.8591 0.8591 0.6707
W 0.4905 0.4905 0.6244

---

Question: Among the records above, which one has the highest uncorrected energy?
Answer: Ho3Hg2Pb2